Compound: Sc2ZnCd2Ag2Au
Source: OQMD
Functional: PBE-GGA
Structure: relaxed

The energy of formation from the pure elements is -0.3528 eV per atom. As for the volume: 19.0 Å³ per atom.

The structure belongs to space group P-4m2 (No. 115); the cell edges are 4.749, 4.749 and 6.742 Å and the angles 90.00°, 90.00° and 90.00°. The inequivalent atoms are Sc at (0.000, 0.500, 0.246), Zn at (0.000, 0.000, 0.500), Cd at (0.000, 0.500, 0.741), Ag at (0.000, 0.000, 0.000), Ag at (0.500, 0.500, 0.500) and Au at (0.500, 0.500, 0.000).